1.
First-principles (PBE-GGA) data for a relaxed structure of BAsPb, as listed in Alexandria.

abc: 4.314 4.734 7.482
angles: 108.44 106.76 90.00
Fractional positions:
Pb1 0.627 0.127 0.254
As1 0.881 0.381 0.761
Pb2 0.373 0.873 0.746
As2 0.119 0.619 0.239
B1 0.689 0.500 0.000
B2 0.311 0.500 0.000

Properties
E: -4.71 eV/atom
Calculated formation energy: 0.30 eV per atom
Magnetization: 0.000 μB per formula unit
Space group: Immm, No. 71
Volume: 23.0 A^3/atom

2.
First-principles (PBE-GGA) data for a relaxed structure of B2AsPb2, as listed in Alexandria.

abc: 3.024 3.024 10.666
angles: 81.85 81.85 90.00
Fractional positions:
Pb1 0.362 0.362 0.275
As1 0.000 0.000 0.000
B1 0.250 0.750 0.500
B2 0.750 0.250 0.500
Pb2 0.638 0.638 0.725

Properties
E: -4.09 eV/atom
Polymorph energy (0 for the lowest one): 0.00 eV per formula unit
Calculated formation energy: 0.99 eV per atom
Magnetization: 0.000 μB per formula unit
Space group: I4/mmm, No. 139
Volume: 19.1 A^3/atom

3.
First-principles (PBE-GGA) data for a relaxed structure of B2AsPb, as listed in Alexandria.

abc: 5.200 5.200 6.240
angles: 65.37 65.37 90.00
Fractional positions:
Pb1 0.750 0.250 0.500
B1 0.375 0.423 0.750
B2 0.875 0.827 0.750
Pb2 0.000 0.000 0.000
B3 0.173 0.625 0.250
As1 0.250 0.750 0.500
As2 0.500 0.500 0.000
B4 0.577 0.125 0.250

Properties
E: -4.80 eV/atom
Polymorph energy (0 for the lowest one): 0.00 eV per formula unit
Calculated formation energy: 0.63 eV per atom
Magnetization: 0.000 μB per formula unit
Space group: I-42d, No. 122
Volume: 17.0 A^3/atom

4.
First-principles (PBE-GGA) data for a relaxed structure of BAs2Pb, as listed in Alexandria.

abc: 4.855 4.855 4.855
angles: 60.00 60.00 60.00
Fractional positions:
As1 0.250 0.250 0.250
Pb1 0.500 0.500 0.500
B1 0.000 0.000 0.000
As2 0.750 0.750 0.750

Properties
E: -3.75 eV/atom
Polymorph energy (0 for the lowest one): 3.69 eV per formula unit
Calculated formation energy: 1.18 eV per atom
Magnetization: 0.000 μB per formula unit
Space group: Fm-3m, No. 225
Volume: 20.2 A^3/atom

5.
First-principles (PBE-GGA) data for a relaxed structure of B2AsPb2, as listed in Alexandria.

abc: 8.142 8.142 3.271
angles: 90.00 90.00 90.00
Fractional positions:
Pb1 0.240 0.740 0.000
B1 0.068 0.568 0.500
B2 0.432 0.068 0.500
Pb2 0.760 0.260 0.000
As1 0.500 0.500 0.000
B3 0.568 0.932 0.500
Pb3 0.740 0.760 0.000
Pb4 0.260 0.240 0.000
As2 0.000 0.000 0.000
B4 0.932 0.432 0.500

Properties
E: -4.07 eV/atom
Polymorph energy (0 for the lowest one): 0.10 eV per formula unit
Calculated formation energy: 1.01 eV per atom
Magnetization: 0.000 μB per formula unit
Space group: P4/mbm, No. 127
Volume: 21.7 A^3/atom

6.
First-principles (PBE-GGA) data for a relaxed structure of BAsPb2, as listed in Alexandria.

abc: 5.973 5.973 7.262
angles: 65.71 65.71 90.00
Fractional positions:
As1 0.000 0.000 0.000
Pb1 0.875 0.815 0.750
Pb2 0.375 0.435 0.750
Pb3 0.565 0.125 0.250
Pb4 0.185 0.625 0.250
B1 0.250 0.750 0.500
As2 0.750 0.250 0.500
B2 0.500 0.500 0.000

Properties
E: -4.17 eV/atom
Polymorph energy (0 for the lowest one): 0.00 eV per formula unit
Calculated formation energy: 0.51 eV per atom
Magnetization: 0.000 μB per formula unit
Space group: I-42d, No. 122
Volume: 26.3 A^3/atom

7.
First-principles (PBE-GGA) data for a relaxed structure of BAs2Pb, as listed in Alexandria.

abc: 6.286 6.286 6.192
angles: 59.50 59.50 90.00
Fractional positions:
As1 0.519 0.125 0.250
Pb1 0.000 0.000 0.000
Pb2 0.750 0.250 0.500
As2 0.231 0.625 0.250
B1 0.500 0.500 0.000
As3 0.875 0.769 0.750
B2 0.250 0.750 0.500
As4 0.375 0.481 0.750

Properties
E: -4.67 eV/atom
Polymorph energy (0 for the lowest one): 0.00 eV per formula unit
Calculated formation energy: 0.25 eV per atom
Magnetization: 0.000 μB per formula unit
Space group: I-42d, No. 122
Volume: 21.3 A^3/atom

8.
First-principles (PBE-GGA) data for a relaxed structure of BAs3Pb, as listed in Alexandria.

abc: 4.608 4.608 4.608
angles: 90.00 90.00 90.00
Fractional positions:
As1 0.500 0.000 0.000
B1 0.000 0.000 0.000
Pb1 0.500 0.500 0.500
As2 0.000 0.000 0.500
As3 0.000 0.500 0.000

Properties
E: -4.22 eV/atom
Polymorph energy (0 for the lowest one): 0.00 eV per formula unit
Calculated formation energy: 0.64 eV per atom
Magnetization: 0.000 μB per formula unit
Space group: Pm-3m, No. 221
Volume: 19.6 A^3/atom

9.
First-principles (PBE-GGA) data for a relaxed structure of BAsPb3, as listed in Alexandria.

abc: 5.038 5.038 5.038
angles: 90.00 90.00 90.00
Fractional positions:
Pb1 0.000 0.500 0.000
B1 0.000 0.000 0.000
As1 0.500 0.500 0.500
Pb2 0.000 0.000 0.500
Pb3 0.500 0.000 0.000

Properties
E: -3.86 eV/atom
Polymorph energy (0 for the lowest one): 0.00 eV per formula unit
Calculated formation energy: 0.63 eV per atom
Magnetization: 0.000 μB per formula unit
Space group: Pm-3m, No. 221
Volume: 25.6 A^3/atom

10.
First-principles (PBE-GGA) data for a relaxed structure of BAsPb2, as listed in Alexandria.

abc: 5.076 5.076 5.076
angles: 60.00 60.00 60.00
Fractional positions:
Pb1 0.250 0.250 0.250
B1 0.000 0.000 0.000
As1 0.500 0.500 0.500
Pb2 0.750 0.750 0.750

Properties
E: -3.72 eV/atom
Polymorph energy (0 for the lowest one): 1.80 eV per formula unit
Calculated formation energy: 0.96 eV per atom
Magnetization: 0.000 μB per formula unit
Space group: Fm-3m, No. 225
Volume: 23.1 A^3/atom

11.
First-principles (PBE-GGA) data for a relaxed structure of B2AsPb, as listed in Alexandria.

abc: 4.497 4.497 4.497
angles: 60.00 60.00 60.00
Fractional positions:
As1 0.000 0.000 0.000
B1 0.750 0.750 0.750
Pb1 0.500 0.500 0.500
B2 0.250 0.250 0.250

Properties
E: -3.78 eV/atom
Polymorph energy (0 for the lowest one): 4.09 eV per formula unit
Calculated formation energy: 1.65 eV per atom
Magnetization: 0.000 μB per formula unit
Space group: Fm-3m, No. 225
Volume: 16.1 A^3/atom

12.
First-principles (PBE-GGA) data for a relaxed structure of BAs3Pb, as listed in Alexandria.

abc: 5.417 5.417 5.417
angles: 90.00 90.00 90.00
Fractional positions:
As1 0.000 0.000 0.500
Pb1 0.000 0.000 0.000
As2 0.500 0.000 0.000
B1 0.500 0.500 0.500
As3 0.000 0.500 0.000

Properties
E: -2.87 eV/atom
Polymorph energy (0 for the lowest one): 6.79 eV per formula unit
Calculated formation energy: 2.00 eV per atom
Magnetization: 0.000 μB per formula unit
Space group: Pm-3m, No. 221
Volume: 31.8 A^3/atom

Q: Which formula does entry 2 have?
A: B2AsPb2